Entry 1:
PBE-GGA KLa3F, optimized geometry; SG = No. 221; offset from the most stable computed form = 0.000 eV per atom; DFT total energy = -21.0 eV per cell; energy relative to the elements, uncorrected = -62 kJ/mol of atoms
1.0
5.426 0.000 0.000
0.000 5.426 0.000
0.000 0.000 5.426
K La F
1 3 1
Cartesian
0.000 0.000 0.000 K
0.000 2.713 2.713 La
2.713 0.000 2.713 La
2.713 2.713 0.000 La
2.713 2.713 2.713 F

---

Entry 2:
PBE-GGA La3Mg3Cd2, optimized geometry; SG = No. 160; DFT total energy = -22.9 eV per cell; formation energy = -0.19 eV/atom
1.0
2.712 1.566 9.042
-2.712 1.566 9.042
0.000 -3.131 9.042
La Mg Cd
3 3 2
Cartesian
0.000 0.000 0.000 La
0.000 0.000 6.651 La
0.000 0.000 20.431 La
0.000 0.000 3.413 Mg
0.000 0.000 13.513 Mg
0.000 0.000 16.859 Mg
0.000 0.000 10.235 Cd
0.000 0.000 23.690 Cd

---

Entry 3:
PBE-GGA UPdSe4, optimized geometry; SG = No. 14; offset from the most stable computed form = 0.146 eV per atom; DFT total energy = -67.8 eV per cell; energy relative to the elements, uncorrected = -56 kJ/mol of atoms
1.0
6.847 0.000 0.000
0.000 6.611 0.000
-1.234 0.000 6.333
U Pd Se
2 2 8
Cartesian
0.000 0.000 0.000 U
-0.617 3.305 3.167 U
2.806 0.000 3.167 Pd
3.423 3.305 0.000 Pd
0.960 1.310 2.242 Se
0.343 1.995 5.409 Se
1.649 4.785 1.699 Se
1.032 5.131 4.866 Se
4.581 1.480 1.467 Se
3.964 1.826 4.634 Se
5.269 4.615 0.925 Se
4.652 5.301 4.091 Se